The following is a PBE-GGA calculation of a relaxed structure of MgMnTcRu, from Alexandria.

Output
The calculation puts the total magnetic moment at 1.106 μB/cell. Its energy is -29.61 eV per formula unit. The calculated formation energy comes out at 0.20 eV/atom.

Cell lengths 6.052, 6.052, 6.052 Å; angles 90.00, 90.00, 90.00 degrees
Space group F-43m (No. 216)
Asymmetric unit:
1 Mg 0.000 0.000 0.000 [4 per cell]
2 Mn 0.250 0.250 0.750 [4 per cell]
3 Tc 0.000 0.000 0.500 [4 per cell]
4 Ru 0.250 0.250 0.250 [4 per cell]

The following is a PBE-GGA calculation of a relaxed structure of MgMnVRu, from Alexandria.

Output
The calculation puts the total magnetic moment at 8.057 μB/cell. Its energy is -29.25 eV per formula unit. The calculated formation energy comes out at -0.02 eV/atom.

Cell lengths 6.087, 6.087, 6.087 Å; angles 90.00, 90.00, 90.00 degrees
Space group F-43m (No. 216)
Asymmetric unit:
1 Mg 0.000 0.000 0.000 [4 per cell]
2 Mn 0.250 0.250 0.750 [4 per cell]
3 V 0.000 0.000 0.500 [4 per cell]
4 Ru 0.250 0.250 0.250 [4 per cell]

The following is a PBE-GGA calculation of a relaxed structure of MgZrMn2Ru, from Alexandria.

Output
The calculation puts the total magnetic moment at 6.141 μB/cell. Its energy is -31.95 eV per formula unit. The calculated formation energy comes out at 1.16 eV/atom.

Cell lengths 4.800, 4.800, 4.787 Å; angles 90.00, 90.00, 90.00 degrees
Space group P4/mmm (No. 123)
Asymmetric unit:
1 Mg 0.000 0.000 0.000 [1 per cell]
2 Zr 0.500 0.500 0.500 [1 per cell]
3 Mn 0.000 0.500 0.500 [2 per cell]
4 Ru 0.500 0.500 0.000 [1 per cell]